Mn2TlIrF, optimized geometry, DFT GGA+U; DFT total energy = -5.666 eV per atom; SG = P4/mmm
1.0
4.220 0.000 0.000
0.000 4.944 0.000
0.000 0.000 4.220
Mn F Ir Tl
2 1 1 1
direct
0.000 0.000 0.500 Mn
0.500 0.000 0.000 Mn
0.000 0.000 0.000 F
0.500 0.500 0.500 Ir
0.000 0.500 0.000 Tl